Entry 1:
# CaMo2As

A crystal of CaMo2As relaxed with PBEsol (SCAN, Alexandria via LeMat-Bulk).

Cell lengths 3.248, 3.248, 7.036 Å; angles 90.00, 90.00, 90.00 degrees
Sites, in units of the cell vectors:
Ca (0.000, 0.000, 0.000)
Mo (0.000, 0.000, 0.504)
Mo (0.500, 0.500, 0.319)
As (0.500, 0.500, 0.705)

## Properties
theoretical density = 6.9 Mg/m³
energy relative to the elements = 0.011 eV per atom
total moment = 0.00 μB/f.u.
DOS(E_F) = 3.31 states/eV/cell

---

Entry 2:
# CaMoAs2

A crystal of CaMoAs2 relaxed with PBEsol (SCAN, Alexandria via LeMat-Bulk).

Cell lengths 6.621, 6.621, 6.621 Å; angles 90.00, 90.00, 90.00 degrees
Sites, in units of the cell vectors:
Ca (0.000, 0.000, 0.000)
Ca (0.000, 0.500, 0.500)
Ca (0.500, 0.000, 0.500)
Ca (0.500, 0.500, 0.000)
Mo (0.250, 0.250, 0.750)
Mo (0.250, 0.750, 0.250)
Mo (0.750, 0.250, 0.250)
Mo (0.750, 0.750, 0.750)
As (0.000, 0.000, 0.500)
As (0.000, 0.500, 0.000)
As (0.250, 0.250, 0.250)
As (0.250, 0.750, 0.750)
As (0.500, 0.000, 0.000)
As (0.500, 0.500, 0.500)
As (0.750, 0.250, 0.750)
As (0.750, 0.750, 0.250)

## Properties
theoretical density = 6.5 Mg/m³
energy relative to the elements = 0.370 eV per atom
total moment = 2.08 μB/f.u.
DOS(E_F) = 7.70 states/eV/cell
distance to the lowest polymorph of the same formula = 0.838 eV per atom

---

Entry 3:
# CaMoAs2

A crystal of CaMoAs2 relaxed with PBEsol (SCAN, Alexandria via LeMat-Bulk).

Cell lengths 3.571, 4.077, 5.260 Å; angles 90.00, 90.00, 90.00 degrees
Sites, in units of the cell vectors:
Ca (0.000, 0.000, 0.000)
Mo (0.500, 0.500, 0.500)
As (0.000, 0.000, 0.500)
As (0.500, 0.500, 0.000)

## Properties
theoretical density = 6.2 Mg/m³
energy relative to the elements = -0.188 eV per atom
total moment = 1.10 μB/f.u.
DOS(E_F) = 2.18 states/eV/cell
distance to the lowest polymorph of the same formula = 0.280 eV per atom

---

Entry 4:
# Ca2MoAs

A crystal of Ca2MoAs relaxed with PBEsol (SCAN, Alexandria via LeMat-Bulk).

Cell lengths 11.197, 3.463, 5.162 Å; angles 90.00, 113.45, 90.00 degrees
Sites, in units of the cell vectors:
Ca (0.000, 0.000, 0.000)
Ca (0.198, 0.000, 0.662)
Ca (0.500, 0.500, 0.000)
Ca (0.698, 0.500, 0.662)
Mo (0.294, 0.500, 0.255)
Mo (0.794, 0.000, 0.255)
As (0.458, 0.000, 0.469)
As (0.958, 0.500, 0.469)

## Properties
theoretical density = 4.5 Mg/m³
energy relative to the elements = -0.047 eV per atom
total moment = 1.16 μB/f.u.
DOS(E_F) = 3.11 states/eV/cell